No. 1
Material: Er2TlPb
Method: DFT, GGA-PBE
State: optimized geometry

Geometry as extended XYZ:
```
4
Lattice="4.338 0.000 0.000 0.000 5.008 0.000 0.000 0.000 5.008" Properties=species:S:1:pos:R:3 pbc="T T T"
Er 0.000 2.504 0.000
Er 0.000 0.000 2.504
Tl 2.169 0.000 0.000
Pb 2.169 2.504 2.504
```

Calculated values
The calculation puts the magnetic moment at 0.0 μB/f.u. Its formation energy is -0.356 eV/atom.

No. 2
Material: Er2Tl2Pb
Method: DFT, GGA-PBE
State: optimized geometry

Geometry as extended XYZ:
```
10
Lattice="3.668 0.000 0.000 0.000 8.794 0.000 0.000 0.000 8.794" Properties=species:S:1:pos:R:3 pbc="T T T"
Er 1.834 2.856 1.540
Er 1.834 1.540 5.937
Er 1.834 5.937 7.253
Er 1.834 7.253 2.856
Pb 0.000 0.000 0.000
Pb 0.000 4.397 4.397
Tl 0.000 7.693 5.498
Tl 0.000 1.101 3.296
Tl 0.000 5.498 1.101
Tl 0.000 3.296 7.693
```

Calculated values
The calculation puts the magnetic moment at 0.0 μB/f.u. Its formation energy is -0.237 eV/atom.

No. 3
Material: ErTlPb3
Method: DFT, GGA-PBE
State: optimized geometry

Geometry as extended XYZ:
```
10
Lattice="-3.273 2.809 -3.739 1.141 -4.719 -4.542 -4.585 -5.497 4.356" Properties=species:S:1:pos:R:3 pbc="T T T"
Pb 0.000 0.000 0.000
Pb -5.092 -2.240 -1.500
Pb -4.196 -5.386 -0.261
Pb -2.520 -2.020 -3.663
Pb 0.570 -2.359 -2.271
Pb -1.624 -5.166 -2.424
Tl -3.704 -7.822 -2.535
Tl -3.012 0.415 -1.390
Er -4.721 -4.730 -3.701
Er -1.995 -2.676 -0.223
```

Calculated values
The calculation puts the magnetic moment at 0.0 μB/f.u. Its formation energy is -0.128 eV/atom.

No. 4
Material: ErTlPb2
Method: DFT, GGA-PBE
State: optimized geometry

Geometry as extended XYZ:
```
4
Lattice="-0.629 3.443 0.519 -3.540 0.056 -4.658 -5.393 -1.269 1.882" Properties=species:S:1:pos:R:3 pbc="T T T"
Tl -2.085 1.750 -2.069
Pb 0.000 0.000 0.000
Pb -4.466 -0.607 -1.388
Er -3.011 1.087 1.201
```

Calculated values
The calculation puts the magnetic moment at 0.0 μB/f.u. Its formation energy is -0.195 eV/atom.

No. 5
Material: ErTl3Pb12
Method: DFT, GGA-PBE
State: optimized geometry

Geometry as extended XYZ:
```
16
Lattice="-0.640 4.688 -1.243 -4.589 -0.991 -1.375 -6.598 4.143 19.028" Properties=species:S:1:pos:R:3 pbc="T T T"
Tl -4.963 3.117 14.313
Tl -1.635 1.027 4.715
Tl -3.299 2.072 9.514
Pb -4.454 4.940 11.299
Pb -4.759 1.052 6.419
Pb -6.126 5.990 16.123
Pb -3.086 0.001 1.595
Pb -6.428 2.100 11.233
Pb -7.566 4.958 12.971
Pb -5.913 3.920 8.205
Pb -2.614 1.848 -1.309
Pb -8.100 3.151 16.057
Pb -2.784 3.891 6.485
Pb -4.261 2.882 3.438
Pb -1.112 2.841 1.661
Er 0.000 0.000 0.000
```

Calculated values
The calculation puts the magnetic moment at 0.0 μB/f.u. Its formation energy is -0.050 eV/atom.

No. 6
Material: Er2TlPb
Method: DFT, GGA-PBE
State: optimized geometry

Geometry as extended XYZ:
```
4
Lattice="-0.303 -1.952 -4.202 -2.611 -3.789 -0.617 -6.308 1.997 -3.038" Properties=species:S:1:pos:R:3 pbc="T T T"
Er -2.173 -1.033 -1.929
Er -5.075 1.093 -2.707
Pb -1.953 -3.820 -3.215
Tl -4.632 -1.856 -3.934
```

Calculated values
The calculation puts the magnetic moment at 0.0 μB/f.u. Its formation energy is -0.190 eV/atom.

No. 7
Material: Er6Tl6Pb
Method: DFT, GGA-PBE
State: optimized geometry

Geometry as extended XYZ:
```
13
Lattice="6.488 0.000 0.000 -3.243 5.619 0.000 0.000 0.000 10.244" Properties=species:S:1:pos:R:3 pbc="T T T"
Tl 1.622 2.809 7.683
Tl -1.622 2.809 2.561
Tl 1.622 2.809 2.561
Tl -1.622 2.809 7.683
Tl 3.244 0.000 7.683
Tl 3.244 0.000 2.561
Er 0.000 0.000 6.993
Er 3.244 1.873 5.122
Er 0.000 0.000 3.251
Er 3.244 1.873 0.000
Er 0.000 3.746 5.122
Er 0.000 3.746 0.000
Pb 0.000 0.000 0.000
```

Calculated values
The calculation puts the magnetic moment at 0.0 μB/f.u. Its formation energy is -0.170 eV/atom.

No. 8
Material: ErTl2Pb5
Method: DFT, GGA-PBE
State: optimized geometry

Geometry as extended XYZ:
```
8
Lattice="6.446 -0.114 -2.132 -3.390 5.484 -2.133 0.061 0.109 6.789" Properties=species:S:1:pos:R:3 pbc="T T T"
Pb 2.406 4.232 0.077
Pb 0.878 1.547 2.210
Pb 4.135 1.543 4.538
Pb -0.844 4.233 -2.252
Pb 0.851 1.491 -1.185
Tl 4.102 1.491 1.143
Tl -0.817 4.290 1.142
Er 2.440 4.285 3.471
```

Calculated values
The calculation puts the magnetic moment at 0.0 μB/f.u. Its formation energy is -0.071 eV/atom.